Density functional theory data (PBE) for a relaxed structure of Ag2SeF.

a b c (Å): 4.633 4.633 3.131
angles (deg): 90.00 90.00 90.00
Positions (direct):
Ag 0.000 0.500 0.000
Ag 0.500 0.000 0.000
Se 0.000 0.000 0.500
F 0.500 0.500 0.500

Values from the calculation:
The value obtained for the formation energy without anion corrections is -0.464 eV/atom. As for the space-group type: No. 123. The value obtained for the energy above the lowest structure with this stoichiometry is 26.2 meV per atom. For the density of states at the Fermi level, the calculation gives 1.069 states/eV/f.u. The crystal system is tetragonal.